Below is an optimized crystal structure of CuTe2Pb, with properties calculated at the PBE level.

Unit cell a=5.3062 b=5.3062 c=5.3062 alpha=60.00 beta=60.00 gamma=60.00
Closest atoms and distances in Å follow each position.
Element x y z (fractional)
Te  0.2500  0.2500  0.2500  4 Cu 3.25, 4 Te 3.25
Te  0.0000  0.0000  0.0000  4 Pb 3.25, 4 Te 3.25
Cu  0.5000  0.5000  0.5000  4 Pb 3.25, 4 Te 3.25
Pb  0.7500  0.7500  0.7500  4 Te 3.25, 4 Cu 3.25

Values from the calculation:
total moment: 0.00 Bohr magnetons per cell



Below is an optimized crystal structure of VZn2GeBi, with properties calculated at the PBE level.

Unit cell a=4.9164 b=5.1647 c=4.9164 alpha=90.00 beta=90.00 gamma=90.00
Closest atoms and distances in Å follow each position.
Element x y z (fractional)
Bi  0.0000  0.5000  0.0000  2 V 2.58
Ge  0.5000  0.5000  0.5000  4 Bi 3.48, 8 Zn 3.57
V  0.0000  0.0000  0.0000  4 Zn 2.46, 2 Bi 2.58
Zn  0.0000  0.0000  0.5000  2 V 2.46
Zn  0.5000  0.0000  0.0000  2 V 2.46

Values from the calculation:
formation energy: 0.763 eV per atom
total moment: 1.80 Bohr magnetons per cell



Number 1: Fermi-level density of states 0.6167 states/eV/atom, raw total energy -3.159 eV/atom. Number 2: Fermi-level density of states 0.7687 states/eV/atom, raw total energy -3.270 eV/atom.